ErPu5: relaxed, GGA-PBE.

Calculated values
- raw total energy (eV per atom) = -12.45
- ΔH_f (0 K) (meV per atom) = 256
- calculated volume (Å³/cell) = 299
- DOS at the Fermi energy (states/eV/f.u.) = 27.40
- ρ (g cm⁻³) = 15.40

CIF file:
```
data_ErPu5
_cell_length_a 5.530
_cell_length_b 10.038
_cell_length_c 5.389
_cell_angle_alpha 90.00
_cell_angle_beta 90.00
_cell_angle_gamma 90.00
_space_group_name_H-M_alt 'C m m m'
_space_group_IT_number 65
_space_group_name_Hall '-C 2 2'
loop_
_atom_site_label
_atom_site_type_symbol
_atom_site_fract_x
_atom_site_fract_y
_atom_site_fract_z
Er1 Er 0.000 0.000 0.000
Pu1 Pu 0.000 0.177 0.500
Pu2 Pu 0.000 0.333 0.000
Pu3 Pu 0.000 0.500 0.500
```